# PBE CrIn2PCl, optimized geometry
data_CrIn2PCl
_chemical_formula_sum 'Cr1 In2 P1 Cl1'
_space_group_name_H-M_alt 'P 4/m m m'
_space_group_IT_number 123
_space_group_name_Hall '-P 4 2'
_cell_length_a 5.655
_cell_length_b 5.655
_cell_length_c 4.531
_cell_angle_alpha 90.00
_cell_angle_beta 90.00
_cell_angle_gamma 90.00
loop_
_atom_site_label
_atom_site_type_symbol
_atom_site_fract_x
_atom_site_fract_y
_atom_site_fract_z
_atom_site_occupancy
Cr1 Cr 0.000 0.000 0.000 1
In1 In 0.000 0.500 0.500 1
P1 P 0.500 0.500 0.000 1
Cl1 Cl 0.000 0.000 0.500 1
# total DFT energy (no corrections): -19.01 eV/cell
# crystal system: tetragonal
# Fermi-level density of states: 2.624 states/eV/cell
# V: 144.92 Å³/f.u.
# E_form (uncorrected): 0.670 eV/atom

---

# PBE CrInP2Cl, optimized geometry
data_CrInP2Cl
_chemical_formula_sum 'Cr1 In1 P2 Cl1'
_space_group_name_H-M_alt 'P 4/m m m'
_space_group_IT_number 123
_space_group_name_Hall '-P 4 2'
_cell_length_a 4.435
_cell_length_b 4.435
_cell_length_c 5.141
_cell_angle_alpha 90.00
_cell_angle_beta 90.00
_cell_angle_gamma 90.00
loop_
_atom_site_label
_atom_site_type_symbol
_atom_site_fract_x
_atom_site_fract_y
_atom_site_fract_z
_atom_site_occupancy
Cr1 Cr 0.000 0.000 0.000 1
In1 In 0.500 0.500 0.500 1
P1 P 0.000 0.500 0.000 1
Cl1 Cl 0.000 0.000 0.500 1
# total DFT energy (no corrections): -24.68 eV/cell
# E above lowest polymorph: 0.0000 eV/atom
# crystal system: tetragonal
# Fermi-level density of states: 3.101 states/eV/cell
# V: 101.09 Å³/f.u.
# E_form (uncorrected): 0.069 eV/atom

---

# PBE CrInP2Cl, optimized geometry
data_CrInP2Cl
_chemical_formula_sum 'Cr1 In1 P2 Cl1'
_space_group_name_H-M_alt 'P 4/m m m'
_space_group_IT_number 123
_space_group_name_Hall '-P 4 2'
_cell_length_a 5.031
_cell_length_b 5.031
_cell_length_c 5.144
_cell_angle_alpha 90.00
_cell_angle_beta 90.00
_cell_angle_gamma 90.00
loop_
_atom_site_label
_atom_site_type_symbol
_atom_site_fract_x
_atom_site_fract_y
_atom_site_fract_z
_atom_site_occupancy
Cr1 Cr 0.000 0.000 0.000 1
In1 In 0.500 0.500 0.500 1
P1 P 0.000 0.500 0.500 1
Cl1 Cl 0.500 0.500 0.000 1
# total DFT energy (no corrections): -20.63 eV/cell
# E above lowest polymorph: 0.8106 eV/atom
# crystal system: tetragonal
# Fermi-level density of states: 2.960 states/eV/cell
# V: 130.20 Å³/f.u.
# E_form (uncorrected): 0.880 eV/atom

---

# PBE CrInPb2Cl8, optimized geometry
data_CrInPb2Cl8
_chemical_formula_sum 'Cr1 In1 Pb2 Cl8'
_space_group_name_H-M_alt 'P -1'
_space_group_IT_number 2
_cell_length_a 6.334
_cell_length_b 6.594
_cell_length_c 8.684
_cell_angle_alpha 90.01
_cell_angle_beta 90.09
_cell_angle_gamma 91.52
loop_
_space_group_symop_operation_xyz
'x,y,z'
'-x,-y,-z'
loop_
_atom_site_label
_atom_site_type_symbol
_atom_site_fract_x
_atom_site_fract_y
_atom_site_fract_z
_atom_site_occupancy
Cr1 Cr 0.000 0.000 0.000 1
In1 In 0.000 0.000 0.500 1
Pb1 Pb 0.500 0.500 0.239 1
Cl1 Cl 0.215 0.705 0.000 1
Cl2 Cl 0.218 0.145 0.805 1
Cl3 Cl 0.219 0.144 0.195 1
Cl4 Cl 0.272 0.629 0.500 1
# total DFT energy (no corrections): -46.96 eV/cell
# crystal system: triclinic
# V: 362.58 Å³/f.u.
# E_form (uncorrected): -1.034 eV/atom